No. 1
Below is an optimized crystal structure of Ta2SbRu, with properties calculated at the PBE-GGA level.

The space group is I-42d (No. 122) and the conventional cell measures 3.955, 3.955 and 19.676 Å, with angles of 90.00, 90.00 and 90.00 degrees. Symmetry generates all atoms from Ta at (0.246, 0.250, 0.125), Sb at (0.000, 0.000, 0.000) and Ru at (0.000, 0.000, 0.500).

For the formation energy (no corrections), the calculation gives 0.484 eV per atom.


No. 2
Below is an optimized crystal structure of Ba2Tl6SnHg, with properties calculated at the PBE-GGA level.

The space group is Pmmn (No. 59, origin choice 2) and the conventional cell measures 6.357, 10.459 and 11.114 Å, with angles of 90.00, 90.00 and 90.00 degrees. Symmetry generates all atoms from Ba at (0.250, 0.011, 0.220), Tl at (0.000, 0.250, 0.490), Tl at (0.002, 0.750, 0.006), Tl at (0.250, 0.005, 0.600), Sn at (0.250, 0.750, 0.770) and Hg at (0.250, 0.250, 0.762).

Its formation energy is -0.142 eV per atom.


No. 3
Below is an optimized crystal structure of BaScRe2Te, with properties calculated at the PBE-GGA level.

The space group is P4/mmm (No. 123) and the conventional cell measures 4.953, 4.953 and 5.896 Å, with angles of 90.00, 90.00 and 90.00 degrees. Symmetry generates all atoms from Ba at (0.000, 0.000, 0.000), Sc at (0.500, 0.500, 0.000), Re at (0.000, 0.500, 0.500) and Te at (0.000, 0.000, 0.500).

For the formation energy (no corrections), the calculation gives 1.664 eV per atom.


No. 4
Below is an optimized crystal structure of NaTaH2O, with properties calculated at the PBE-GGA level.

The space group is P4/mmm (No. 123) and the conventional cell measures 3.350, 3.350 and 4.195 Å, with angles of 90.00, 90.00 and 90.00 degrees. Symmetry generates all atoms from Na at (0.000, 0.000, 0.000), Ta at (0.500, 0.500, 0.500), H at (0.000, 0.500, 0.000) and O at (0.000, 0.000, 0.500).

Its total energy is -4.59 eV/atom.


No. 5
Below is an optimized crystal structure of ZrTcHRh2, with properties calculated at the PBE-GGA level.

The space group is P4/mmm (No. 123) and the conventional cell measures 3.957, 3.957 and 4.171 Å, with angles of 90.00, 90.00 and 90.00 degrees. Symmetry generates all atoms from Zr at (0.000, 0.000, 0.000), Tc at (0.500, 0.500, 0.000), H at (0.000, 0.000, 0.500) and Rh at (0.000, 0.500, 0.500).

For the energy relative to the lowest polymorph listed for this composition, the calculation gives 0.23 eV/f.u.


No. 6
Below is an optimized crystal structure of Er5OsPb2, with properties calculated at the PBE-GGA level.

The space group is Cmcm (No. 63) and the conventional cell measures 5.490, 16.402 and 12.510 Å, with angles of 90.00, 90.00 and 90.00 degrees. Symmetry generates all atoms from Er at (0.000, 0.074, 0.108), Er at (0.000, 0.293, 0.072), Er at (0.000, 0.295, 0.750), Os at (0.000, 0.192, 0.250) and Pb at (0.000, 0.121, 0.623).

Its formation energy is -0.012 eV per atom.


No. 7
Below is an optimized crystal structure of NdSmS2, with properties calculated at the PBE-GGA level.

The space group is C2/m (No. 12) and the conventional cell measures 6.989, 4.053 and 6.989 Å, with angles of 90.00, 109.66 and 90.00 degrees. Symmetry generates all atoms from Nd at (0.000, 0.000, 0.000), Sm at (0.000, 0.500, 0.500) and S at (0.248, 0.000, 0.744).

For the formation energy (no corrections), the calculation gives -2.027 eV per atom. For the energy relative to the lowest polymorph listed for this composition, the calculation gives 0.00 eV/f.u.


No. 8
Below is an optimized crystal structure of PmZrCuRe, with properties calculated at the PBE-GGA level.

The space group is F-43m (No. 216) and the conventional cell measures 6.817, 6.817 and 6.817 Å, with angles of 90.00, 90.00 and 90.00 degrees. Symmetry generates all atoms from Pm at (0.000, 0.000, 0.000), Zr at (0.000, 0.000, 0.500), Cu at (0.250, 0.250, 0.750) and Re at (0.250, 0.250, 0.250).

Its formation energy is 0.033 eV per atom.


No. 9
Below is an optimized crystal structure of LaNd3Ru, with properties calculated at the PBE-GGA level.

The space group is C2/m (No. 12) and the conventional cell measures 12.005, 9.245 and 5.988 Å, with angles of 90.00, 101.30 and 90.00 degrees. Symmetry generates all atoms from La at (0.107, 0.000, 0.295), Nd at (0.102, 0.500, 0.287), Nd at (0.137, 0.252, 0.773) and Ru at (0.245, 0.000, 0.005).

For the energy relative to the lowest polymorph listed for this composition, the calculation gives 0.00 eV/f.u. Its formation energy is -0.117 eV per atom.


No. 10
Below is an optimized crystal structure of SrMo2CSe, with properties calculated at the PBE-GGA level.

The space group is P4/mmm (No. 123) and the conventional cell measures 4.141, 4.141 and 5.860 Å, with angles of 90.00, 90.00 and 90.00 degrees. Symmetry generates all atoms from Sr at (0.000, 0.000, 0.000), Mo at (0.000, 0.500, 0.500), C at (0.500, 0.500, 0.500) and Se at (0.500, 0.500, 0.000).

For the formation energy (no corrections), the calculation gives 0.488 eV per atom. For the energy relative to the lowest polymorph listed for this composition, the calculation gives 0.00 eV/f.u.


No. 11
Below is an optimized crystal structure of LiSmAu2, with properties calculated at the PBE-GGA level.

The space group is P4/mmm (No. 123) and the conventional cell measures 3.554, 3.554 and 6.568 Å, with angles of 90.00, 90.00 and 90.00 degrees. Symmetry generates all atoms from Li at (0.000, 0.000, 0.000), Sm at (0.000, 0.000, 0.500) and Au at (0.500, 0.500, 0.218).

For the energy relative to the lowest polymorph listed for this composition, the calculation gives 0.22 eV/f.u. Its formation energy is -0.652 eV per atom.


No. 12
Below is an optimized crystal structure of LiCe2PaS6, with properties calculated at the PBE-GGA level.

The space group is P4mm (No. 99) and the conventional cell measures 6.395, 6.395 and 6.427 Å, with angles of 90.00, 90.00 and 90.00 degrees. Symmetry generates all atoms from Li at (0.000, 0.000, 0.000), Ce at (0.000, 0.500, 0.464), Pa at (0.500, 0.500, 0.049), S at (0.000, 0.000, 0.632), S at (0.241, 0.241, 0.201) and S at (0.500, 0.500, 0.634).

For the formation energy (no corrections), the calculation gives -1.462 eV per atom.


No. 13
Below is an optimized crystal structure of Y2Mg3In, with properties calculated at the PBE-GGA level.

The space group is Fmmm (No. 69) and the conventional cell measures 6.963, 10.181 and 17.552 Å, with angles of 90.00, 90.00 and 90.00 degrees. Symmetry generates all atoms from Y at (0.248, 0.000, 0.000), Y at (0.250, 0.250, 0.250), Mg at (0.000, 0.000, 0.333), Mg at (0.000, 0.249, 0.083) and In at (0.000, 0.000, 0.166).

Its formation energy is -0.224 eV per atom.


No. 14
Below is an optimized crystal structure of Dy3Cd2Hg8, with properties calculated at the PBE-GGA level.

The space group is R-3m (No. 166, hexagonal axes) and the conventional cell measures 6.0391, 6.0391 and 32.8502 Å, with angles of 90.00, 90.00 and 120.00 degrees. Symmetry generates all atoms from Dy at (0.0000, 0.0000, 0.0000), Dy at (0.0000, 0.0000, 0.1899), Cd at (0.0000, 0.0000, 0.3672), Hg at (0.0000, 0.0000, 0.2826) and Hg at (0.0003, 0.5001, 0.2242).

Its formation energy is -0.083 eV per atom.


No. 15
Below is an optimized crystal structure of Ac2Tl2RhO6, with properties calculated at the PBE-GGA level.

The space group is C2/m (No. 12) and the conventional cell measures 6.288, 10.759 and 6.556 Å, with angles of 90.00, 103.31 and 90.00 degrees. Symmetry generates all atoms from Ac at (0.000, 0.163, 0.000), Tl at (0.000, 0.346, 0.500), Rh at (0.000, 0.500, 0.000), O at (0.186, 0.354, 0.163) and O at (0.215, 0.500, 0.800).

For the formation energy (no corrections), the calculation gives -1.716 eV per atom.


No. 16
Below is an optimized crystal structure of CsS2Cl, with properties calculated at the PBE-GGA level.

The space group is R-3m (No. 166, hexagonal axes) and the conventional cell measures 5.3878, 5.3878 and 22.5819 Å, with angles of 90.00, 90.00 and 120.00 degrees. Symmetry generates all atoms from Cs at (0.0000, 0.0000, 0.0000), S at (0.0000, 0.0000, 0.4010) and Cl at (0.0000, 0.0000, 0.5000).

For the formation energy (no corrections), the calculation gives 0.051 eV per atom. For the energy relative to the lowest polymorph listed for this composition, the calculation gives 0.35 eV/f.u.


No. 17
Below is an optimized crystal structure of Pr2DyAg, with properties calculated at the PBE-GGA level.

The space group is P4/mmm (No. 123) and the conventional cell measures 3.729, 3.729 and 8.844 Å, with angles of 90.00, 90.00 and 90.00 degrees. Symmetry generates all atoms from Pr at (0.000, 0.000, 0.220), Dy at (0.500, 0.500, 0.500) and Ag at (0.500, 0.500, 0.000).

For the energy relative to the lowest polymorph listed for this composition, the calculation gives 0.11 eV/f.u. Its formation energy is -0.091 eV per atom.


No. 18
Below is an optimized crystal structure of Zr3AgI, with properties calculated at the PBE-GGA level.

The space group is Pm-3m (No. 221) and the conventional cell measures 5.234, 5.234 and 5.234 Å, with angles of 90.00, 90.00 and 90.00 degrees. Symmetry generates all atoms from Zr at (0.000, 0.000, 0.500), Ag at (0.000, 0.000, 0.000) and I at (0.500, 0.500, 0.500).

For the formation energy (no corrections), the calculation gives 0.875 eV per atom. For the energy relative to the lowest polymorph listed for this composition, the calculation gives 0.00 eV/f.u.


No. 19
Below is an optimized crystal structure of Ac8Ga2Cu, with properties calculated at the PBE-GGA level.

The space group is C2/m (No. 12) and the conventional cell measures 20.027, 5.448 and 7.439 Å, with angles of 90.00, 101.48 and 90.00 degrees. Symmetry generates all atoms from Ac at (0.023, 0.000, 0.276), Ac at (0.092, 0.500, 0.958), Ac at (0.156, 0.500, 0.475), Ac at (0.209, 0.000, 0.818), Ga at (0.189, 0.000, 0.250) and Cu at (0.000, 0.500, 0.500).

Its formation energy is -0.143 eV per atom.


No. 20
Below is an optimized crystal structure of WCCl2, with properties calculated at the PBE-GGA level.

The space group is R-3m (No. 166, hexagonal axes) and the conventional cell measures 3.0002, 3.0002 and 24.6911 Å, with angles of 90.00, 90.00 and 120.00 degrees. Symmetry generates all atoms from W at (0.0000, 0.0000, 0.0000), C at (0.0000, 0.0000, 0.5000) and Cl at (0.0000, 0.0000, 0.0936).

For the formation energy (no corrections), the calculation gives 1.727 eV per atom. For the energy relative to the lowest polymorph listed for this composition, the calculation gives 4.47 eV/f.u.


No. 21
Below is an optimized crystal structure of ErZrZn4, with properties calculated at the PBE-GGA level.

The space group is Immm (No. 71) and the conventional cell measures 4.333, 6.711 and 7.664 Å, with angles of 90.00, 90.00 and 90.00 degrees. Symmetry generates all atoms from Er at (0.000, 0.000, 0.000), Zr at (0.000, 0.500, 0.000) and Zn at (0.000, 0.226, 0.333).

For the energy relative to the lowest polymorph listed for this composition, the calculation gives 0.00 eV/f.u. Its formation energy is -0.322 eV per atom.


No. 22
Below is an optimized crystal structure of MgZn2Se2, with properties calculated at the PBE-GGA level.

The space group is C2/m (No. 12) and the conventional cell measures 11.814, 3.781 and 5.233 Å, with angles of 90.00, 98.33 and 90.00 degrees. Symmetry generates all atoms from Mg at (0.000, 0.000, 0.000), Zn at (0.184, 0.500, 0.733) and Se at (0.141, 0.500, 0.228).

For the formation energy (no corrections), the calculation gives -0.333 eV per atom. For the energy relative to the lowest polymorph listed for this composition, the calculation gives 1.00 eV/f.u.